DFT (PBEsol) results for a geometry-optimized Te3PdAu structure.

The structure belongs to space group Pm-3m (No. 221); the cell edges are 5.171, 5.171 and 5.171 Å and the angles 90.00°, 90.00° and 90.00°. Symmetry generates all atoms from Te at (0.000, 0.000, 0.500), Pd at (0.000, 0.000, 0.000) and Au at (0.500, 0.500, 0.500).

The total DFT energy (no corrections) comes out at -3.493 eV/atom. For the formation energy without anion corrections, the calculation gives 0.599 eV/atom.

DFT (PBEsol) results for a geometry-optimized TiPdAu2 structure.

The structure belongs to space group Fm-3m (No. 225); the cell edges are 6.334, 6.334 and 6.334 Å and the angles 90.00°, 90.00° and 90.00°. Symmetry generates all atoms from Ti at (0.000, 0.000, 0.000), Pd at (0.000, 0.000, 0.500) and Au at (0.250, 0.250, 0.250).

The total DFT energy (no corrections) comes out at -5.919 eV/atom.

DFT (PBEsol) results for a geometry-optimized Ti2Pd2Au structure.

The structure belongs to space group P4/mbm (No. 127); the cell edges are 7.266, 7.266 and 2.974 Å and the angles 90.00°, 90.00° and 90.00°. Symmetry generates all atoms from Ti at (0.172, 0.328, 0.000), Pd at (0.129, 0.629, 0.500) and Au at (0.000, 0.000, 0.500).

The total DFT energy (no corrections) comes out at -6.993 eV/atom.

DFT (PBEsol) results for a geometry-optimized TiPd2Au structure.

The structure belongs to space group Fm-3m (No. 225); the cell edges are 6.256, 6.256 and 6.256 Å and the angles 90.00°, 90.00° and 90.00°. Symmetry generates all atoms from Ti at (0.000, 0.000, 0.000), Pd at (0.250, 0.250, 0.250) and Au at (0.000, 0.000, 0.500).

The total DFT energy (no corrections) comes out at -6.492 eV/atom.

DFT (PBEsol) results for a geometry-optimized TlPd2Au2 structure.

The structure belongs to space group P4/mbm (No. 127); the cell edges are 6.991, 6.991 and 3.673 Å and the angles 90.00°, 90.00° and 90.00°. Symmetry generates all atoms from Tl at (0.000, 0.000, 0.000), Pd at (0.139, 0.361, 0.000) and Au at (0.156, 0.656, 0.500).

The total DFT energy (no corrections) comes out at -4.519 eV/atom.

DFT (PBEsol) results for a geometry-optimized Tl3PdAu structure.

The structure belongs to space group Pm-3m (No. 221); the cell edges are 5.294, 5.294 and 5.294 Å and the angles 90.00°, 90.00° and 90.00°. Symmetry generates all atoms from Tl at (0.000, 0.000, 0.500), Pd at (0.500, 0.500, 0.500) and Au at (0.000, 0.000, 0.000).

The total DFT energy (no corrections) comes out at -2.974 eV/atom.

DFT (PBEsol) results for a geometry-optimized YPd2Au structure.

The structure belongs to space group Fm-3m (No. 225); the cell edges are 6.561, 6.561 and 6.561 Å and the angles 90.00°, 90.00° and 90.00°. Symmetry generates all atoms from Y at (0.000, 0.000, 0.000), Pd at (0.250, 0.250, 0.250) and Au at (0.000, 0.000, 0.500).

The total DFT energy (no corrections) comes out at -6.401 eV/atom.

DFT (PBEsol) results for a geometry-optimized Y2Pd2Au structure.

The structure belongs to space group P4/mbm (No. 127); the cell edges are 7.384, 7.384 and 3.733 Å and the angles 90.00°, 90.00° and 90.00°. Symmetry generates all atoms from Y at (0.175, 0.325, 0.000), Pd at (0.129, 0.629, 0.500) and Au at (0.000, 0.000, 0.500).

The total DFT energy (no corrections) comes out at -6.767 eV/atom.

DFT (PBEsol) results for a geometry-optimized Zn3PdAu structure.

The structure belongs to space group Pm-3m (No. 221); the cell edges are 4.654, 4.654 and 4.654 Å and the angles 90.00°, 90.00° and 90.00°. Symmetry generates all atoms from Zn at (0.000, 0.000, 0.500), Pd at (0.000, 0.000, 0.000) and Au at (0.500, 0.500, 0.500).

The total DFT energy (no corrections) comes out at -2.590 eV/atom.

DFT (PBEsol) results for a geometry-optimized Zn2PdAu structure.

The structure belongs to space group P4/mmm (No. 123); the cell edges are 3.077, 3.077 and 6.119 Å and the angles 90.00°, 90.00° and 90.00°. Symmetry generates all atoms from Zn at (0.000, 0.000, 0.238), Pd at (0.500, 0.500, 0.000) and Au at (0.500, 0.500, 0.500).

The total DFT energy (no corrections) comes out at -3.656 eV/atom.

DFT (PBEsol) results for a geometry-optimized ZrPdAu2 structure.

The structure belongs to space group Fm-3m (No. 225); the cell edges are 6.508, 6.508 and 6.508 Å and the angles 90.00°, 90.00° and 90.00°. Symmetry generates all atoms from Zr at (0.000, 0.000, 0.000), Pd at (0.000, 0.000, 0.500) and Au at (0.250, 0.250, 0.250).

The total DFT energy (no corrections) comes out at -6.267 eV/atom.

DFT (PBEsol) results for a geometry-optimized PmAu3 structure.

The structure belongs to space group P6_3/mmc (No. 194); the cell edges are 6.2591, 6.2591 and 4.7789 Å and the angles 90.00°, 90.00° and 120.00°. Symmetry generates all atoms from Pm at (0.3333, 0.6667, 0.2500) and Au at (0.1563, 0.3125, 0.7500).

The total DFT energy (no corrections) comes out at -4.874 eV/atom. Its distance to the lowest polymorph of the same formula is 0.00 eV per formula unit.

DFT (PBEsol) results for a geometry-optimized PmAu3 structure.

The structure belongs to space group Fm-3m (No. 225); the cell edges are 6.867, 6.867 and 6.867 Å and the angles 90.00°, 90.00° and 90.00°. Symmetry generates all atoms from Pm at (0.000, 0.000, 0.000), Au at (0.000, 0.000, 0.500) and Au at (0.250, 0.250, 0.250).

The total DFT energy (no corrections) comes out at -4.850 eV/atom. Its distance to the lowest polymorph of the same formula is 0.09 eV per formula unit.

DFT (PBEsol) results for a geometry-optimized Pm2PtAu structure.

The structure belongs to space group Fm-3m (No. 225); the cell edges are 7.147, 7.147 and 7.147 Å and the angles 90.00°, 90.00° and 90.00°. Symmetry generates all atoms from Pm at (0.250, 0.250, 0.250), Pt at (0.000, 0.000, 0.000) and Au at (0.000, 0.000, 0.500).

The total DFT energy (no corrections) comes out at -6.177 eV/atom.

Number 1: DOS(E_F) 1.22 states/eV per atom. Number 2: DOS(E_F) 0.80 states/eV per atom. Number 3: DOS(E_F) 0.89 states/eV per atom. Number 4: DOS(E_F) 1.08 states/eV per atom. Number 5: DOS(E_F) 0.43 states/eV per atom. Number 6: DOS(E_F) 0.59 states/eV per atom. Number 7: DOS(E_F) 0.49 states/eV per atom. Number 8: DOS(E_F) 0.55 states/eV per atom. Number 9: DOS(E_F) 0.42 states/eV per atom. Number 10: DOS(E_F) 0.32 states/eV per atom. Number 11: DOS(E_F) 0.65 states/eV per atom. Number 12: DOS(E_F) 0.42 states/eV per atom. Number 13: DOS(E_F) 0.41 states/eV per atom. Number 14: DOS(E_F) 0.78 states/eV per atom.